First-principles (PBEsol) data for a relaxed La2CdCl crystal, as listed in Alexandria.

```
4
Lattice="4.312 0.000 0.000 0.000 4.312 0.000 0.000 0.000 6.185" Properties=species:S:1:pos:R:3 pbc="T T T"
La 0.000 0.000 0.000
La 2.156 2.156 3.092
Cd 0.000 0.000 3.092
Cl 2.156 2.156 0.000
```

ρ   6.1 g/cm³
Energy relative to the lowest polymorph listed for this composition   0.025 eV/atom
Crystal system   tetragonal
Uncorrected formation energy   -0.86 eV per atom

First-principles (PBEsol) data for a relaxed ScTa2TeC crystal, as listed in Alexandria.

```
5
Lattice="4.207 0.000 0.000 0.000 4.207 0.000 0.000 0.000 5.076" Properties=species:S:1:pos:R:3 pbc="T T T"
Sc 0.000 0.000 0.000
Ta 0.000 2.103 2.538
Ta 2.103 0.000 2.538
Te 2.103 2.103 0.000
C 2.103 2.103 2.538
```

ρ   10.1 g/cm³
Crystal system   tetragonal
Uncorrected formation energy   0.15 eV per atom

First-principles (PBEsol) data for a relaxed Mg2InSe crystal, as listed in Alexandria.

```
4
Lattice="-1.810 2.191 5.672 1.810 -2.191 5.672 1.810 2.191 -5.672" Properties=species:S:1:pos:R:3 pbc="T T T"
Mg 0.000 0.000 0.000
Mg 0.000 2.191 2.653
In 0.000 0.000 4.869
Se 1.810 0.000 2.071
```

ρ   4.5 g/cm³
Energy relative to the lowest polymorph listed for this composition   0.066 eV/atom
Crystal system   orthorhombic
Uncorrected formation energy   -0.39 eV per atom

First-principles (PBEsol) data for a relaxed MgAlSb2 crystal, as listed in Alexandria.

```
4
Lattice="-1.898 2.034 6.230 1.898 -2.034 6.230 1.898 2.034 -6.230" Properties=species:S:1:pos:R:3 pbc="T T T"
Mg 0.000 0.000 0.000
Al 1.898 0.000 3.007
Sb 0.000 0.000 5.125
Sb 0.000 2.034 2.171
```

ρ   5.1 g/cm³
Energy relative to the lowest polymorph listed for this composition   0.085 eV/atom
Crystal system   orthorhombic
Uncorrected formation energy   -0.01 eV per atom